Entry from the Alexandria database: a geometry-optimized UH2Ir structure (PBE-GGA).

Geometry as CIF:
```
data_UH2Ir
_space_group_name_H-M_alt 'R -3 m'
_space_group_IT_number 166
_space_group_name_Hall '-R 3 2"'
_cell_length_a 2.9137
_cell_length_b 2.9137
_cell_length_c 18.1234
_cell_angle_alpha 90.00
_cell_angle_beta 90.00
_cell_angle_gamma 120.00
loop_
_atom_site_label
_atom_site_fract_x
_atom_site_fract_y
_atom_site_fract_z
U1 0.0000 0.0000 0.0000
H1 0.0000 0.0000 0.4073
Ir1 0.0000 0.0000 0.5000
```

V in Å³/cell: 133
Energy in eV/atom: -6.611